No. 1
CaTl4Sb: single point on PBEsol structure, meta-GGA SCAN.

Results
Calculated density (g/cm³): 9.4
Space-group type: F-43m, No. 216
Final energy (eV per atom): -56.107
Formation energy (no corrections) (eV per atom): -0.048

Unit cell a=6.263 b=6.263 c=6.263 alpha=60.00 beta=60.00 gamma=60.00
Positions (direct):
Ca: 0.000 0.000 0.000
Tl: 0.126 0.625 0.625
Tl: 0.625 0.126 0.625
Tl: 0.625 0.625 0.126
Tl: 0.625 0.625 0.625
Sb: 0.250 0.250 0.250

=====

No. 2
CaTlSb2: single point on PBEsol structure, meta-GGA SCAN.

Results
Calculated density (g/cm³): 7.4
Space-group type: Cmmm, No. 65
Final energy (eV per atom): -39.548
Formation energy (no corrections) (eV per atom): -0.412
ΔE to the lowest computed polymorph (meV/atom): 47

Unit cell a=5.694 b=5.694 c=3.524 alpha=90.00 beta=90.00 gamma=106.81
Positions (direct):
Ca: 0.000 0.000 0.000
Tl: 0.500 0.500 0.000
Sb: 0.000 0.500 0.500
Sb: 0.500 0.000 0.500

=====

No. 3
CaTlSb2: single point on PBEsol structure, meta-GGA SCAN.

Results
Calculated density (g/cm³): 7.2
Space-group type: Pmmm, No. 47
Final energy (eV per atom): -39.583
Formation energy (no corrections) (eV per atom): -0.447
ΔE to the lowest computed polymorph (meV/atom): 12

Unit cell a=4.154 b=4.182 c=6.501 alpha=90.00 beta=90.00 gamma=90.00
Positions (direct):
Ca: 0.000 0.000 0.000
Tl: 0.000 0.000 0.500
Sb: 0.500 0.500 0.223
Sb: 0.500 0.500 0.777

=====

No. 4
CaTlSb2: single point on PBEsol structure, meta-GGA SCAN.

Results
Calculated density (g/cm³): 7.5
Space-group type: I4/mmm, No. 139
Final energy (eV per atom): -39.585
Formation energy (no corrections) (eV per atom): -0.449
ΔE to the lowest computed polymorph (meV/atom): 10

Unit cell a=5.873 b=5.873 c=5.873 alpha=132.59 beta=132.59 gamma=69.30
Positions (direct):
Ca: 0.000 0.000 0.000
Tl: 0.500 0.500 0.000
Sb: 0.250 0.750 0.500
Sb: 0.750 0.250 0.500

=====

No. 5
CaTlSb2: single point on PBEsol structure, meta-GGA SCAN.

Results
Calculated density (g/cm³): 7.3
Space-group type: Cm, No. 8
Final energy (eV per atom): -39.542
Formation energy (no corrections) (eV per atom): -0.406
ΔE to the lowest computed polymorph (meV/atom): 53

Unit cell a=6.260 b=6.260 c=5.133 alpha=112.47 beta=112.47 gamma=36.92
Positions (direct):
Ca: 0.000 0.000 0.000
Tl: 0.767 0.767 0.221
Sb: 0.227 0.227 0.669
Sb: 0.513 0.513 0.519

=====

No. 6
CaTl2Sb: single point on PBEsol structure, meta-GGA SCAN.

Results
Calculated density (g/cm³): 8.6
Space-group type: P4/mmm, No. 123
Final energy (eV per atom): -48.368
Formation energy (no corrections) (eV per atom): -0.458
ΔE to the lowest computed polymorph (meV/atom): 0

Unit cell a=4.626 b=4.626 c=5.128 alpha=90.00 beta=90.00 gamma=90.00
Positions (direct):
Ca: 0.000 0.000 0.000
Tl: 0.000 0.500 0.500
Tl: 0.500 0.000 0.500
Sb: 0.500 0.500 0.000

=====

No. 7
CaSb2W: single point on PBEsol structure, meta-GGA SCAN.

Results
Calculated density (g/cm³): 9.1
Space-group type: P4/mmm, No. 123
Final energy (eV per atom): -38.053
Formation energy (no corrections) (eV per atom): 0.416
ΔE to the lowest computed polymorph (meV/atom): 384

Unit cell a=4.858 b=4.858 c=3.610 alpha=90.00 beta=90.00 gamma=90.00
Positions (direct):
Ca: 0.000 0.000 0.000
Sb: 0.000 0.500 0.500
Sb: 0.500 0.000 0.500
W: 0.500 0.500 0.000

=====

No. 8
CaSbW: single point on PBEsol structure, meta-GGA SCAN.

Results
Calculated density (g/cm³): 8.6
Space-group type: I4mm, No. 107
Final energy (eV per atom): -38.544
Formation energy (no corrections) (eV per atom): 0.327

Unit cell a=6.041 b=6.041 c=6.041 alpha=146.47 beta=146.47 gamma=48.14
Positions (direct):
Ca: 0.000 0.000 0.000
Sb: 0.703 0.703 0.000
W: 0.310 0.310 0.000

=====

No. 9
Ca2SbW: single point on PBEsol structure, meta-GGA SCAN.

Results
Calculated density (g/cm³): 6.5
Space-group type: Imm2, No. 44
Final energy (eV per atom): -31.207
Formation energy (no corrections) (eV per atom): 0.362

Unit cell a=6.128 b=6.128 c=6.128 alpha=145.79 beta=129.46 gamma=62.45
Positions (direct):
Ca: 0.000 0.000 0.000
Ca: 0.711 0.211 0.500
Sb: 0.258 0.758 0.500
W: 0.447 0.447 0.000

=====

No. 10
CaSb2W: single point on PBEsol structure, meta-GGA SCAN.

Results
Calculated density (g/cm³): 8.0
Space-group type: R-3m, No. 166
Final energy (eV per atom): -38.436
Formation energy (no corrections) (eV per atom): 0.032
ΔE to the lowest computed polymorph (meV/atom): 0

Unit cell a=7.884 b=7.884 c=7.884 alpha=28.31 beta=28.31 gamma=28.31
Positions (direct):
Ca: 0.000 0.000 0.000
Sb: 0.237 0.237 0.237
Sb: 0.763 0.763 0.763
W: 0.500 0.500 0.500

=====

No. 11
CaSb2W: single point on PBEsol structure, meta-GGA SCAN.

Results
Calculated density (g/cm³): 7.7
Space-group type: I-42d, No. 122
Final energy (eV per atom): -38.139
Formation energy (no corrections) (eV per atom): 0.329
ΔE to the lowest computed polymorph (meV/atom): 297

Unit cell a=6.438 b=6.438 c=6.438 alpha=105.20 beta=105.20 gamma=118.39
Positions (direct):
Ca: 0.000 0.000 0.000
Ca: 0.750 0.250 0.500
Sb: 0.168 0.625 0.043
Sb: 0.375 0.418 0.543
Sb: 0.582 0.125 0.957
Sb: 0.875 0.832 0.457
W: 0.250 0.750 0.500
W: 0.500 0.500 0.000

=====

No. 12
Ca3YSb: single point on PBEsol structure, meta-GGA SCAN.

Results
Calculated density (g/cm³): 2.7
Space-group type: Pm-3m, No. 221
Final energy (eV per atom): -18.910
Formation energy (no corrections) (eV per atom): -0.091

Unit cell a=5.864 b=5.864 c=5.864 alpha=90.00 beta=90.00 gamma=90.00
Positions (direct):
Ca: 0.000 0.000 0.500
Ca: 0.000 0.500 0.000
Ca: 0.500 0.000 0.000
Y: 0.500 0.500 0.500
Sb: 0.000 0.000 0.000

=====

No. 13
CaY2Sb2: single point on PBEsol structure, meta-GGA SCAN.

Results
Calculated density (g/cm³): 5.5
Space-group type: P4/mbm, No. 127
Final energy (eV per atom): -29.029
Formation energy (no corrections) (eV per atom): -1.054

Unit cell a=8.209 b=8.209 c=4.118 alpha=90.00 beta=90.00 gamma=90.00
Positions (direct):
Ca: 0.000 0.000 0.000
Ca: 0.500 0.500 0.000
Y: 0.153 0.347 0.500
Y: 0.347 0.847 0.500
Y: 0.653 0.153 0.500
Y: 0.847 0.653 0.500
Sb: 0.148 0.648 0.000
Sb: 0.352 0.148 0.000
Sb: 0.648 0.852 0.000
Sb: 0.852 0.352 0.000

=====

No. 14
Ca2YSb: single point on PBEsol structure, meta-GGA SCAN.

Results
Calculated density (g/cm³): 4.0
Space-group type: P4mm, No. 99
Final energy (eV per atom): -21.616
Formation energy (no corrections) (eV per atom): -0.509
ΔE to the lowest computed polymorph (meV/atom): 0

Unit cell a=4.128 b=4.128 c=7.064 alpha=90.00 beta=90.00 gamma=90.00
Positions (direct):
Ca: 0.000 0.000 0.000
Ca: 0.500 0.500 0.287
Y: 0.500 0.500 0.734
Sb: 0.000 0.000 0.533

=====

No. 15
Ca2YSb: single point on PBEsol structure, meta-GGA SCAN.

Results
Calculated density (g/cm³): 4.1
Space-group type: I-4m2, No. 119
Final energy (eV per atom): -21.556
Formation energy (no corrections) (eV per atom): -0.449
ΔE to the lowest computed polymorph (meV/atom): 60

Unit cell a=6.282 b=6.282 c=6.282 alpha=136.36 beta=136.36 gamma=63.43
Positions (direct):
Ca: 0.000 0.000 0.000
Ca: 0.750 0.250 0.500
Y: 0.250 0.750 0.500
Sb: 0.500 0.500 0.000